DFT (PBE) results for a relaxed structure of Cs2NpSbS6.

- V: 601 Å³/cell
- Crystal system: trigonal
- Raw formation energy: -0.857 eV per atom

a = 7.5247 Å, b = 7.5247 Å, c = 13.0081 Å
α = 73.19°, β = 73.19°, γ = 60.00°
Closest atoms and distances in Å follow each position.
Fractional positions:
Cs (0.8734, 0.8734, 0.3798)  12 S 3.77-3.80
Cs (0.1266, 0.1266, 0.6202)  12 S 3.77-3.80
Cs (0.7086, 0.7086, 0.8741)  12 S 3.76-3.84
Cs (0.2914, 0.2914, 0.1259)  12 S 3.76-3.84
Np (0.5874, 0.5874, 0.2377)  6 S 2.50-2.62
Np (0.4126, 0.4126, 0.7623)  6 S 2.50-2.62
Sb (0.0000, 0.0000, 0.0000)  6 S 2.73
Sb (0.5000, 0.5000, 0.5000)  6 S 2.53
S (0.8508, 0.3871, 0.3749)  1 Sb 2.53, 1 Np 2.62
S (0.3871, 0.8508, 0.3749)  1 Sb 2.53, 1 Np 2.62
S (0.3871, 0.3871, 0.3749)  1 Sb 2.53, 1 Np 2.62
S (0.1492, 0.6129, 0.6251)  1 Sb 2.53, 1 Np 2.62
S (0.6129, 0.1492, 0.6251)  1 Sb 2.53, 1 Np 2.62
S (0.6129, 0.6129, 0.6251)  1 Sb 2.53, 1 Np 2.62
S (0.7015, 0.2137, 0.8711)  1 Np 2.50, 1 Sb 2.73
S (0.2137, 0.7015, 0.8711)  1 Np 2.50, 1 Sb 2.73
S (0.2137, 0.2137, 0.8711)  1 Np 2.50, 1 Sb 2.73
S (0.2985, 0.7863, 0.1289)  1 Np 2.50, 1 Sb 2.73
S (0.7863, 0.2985, 0.1289)  1 Np 2.50, 1 Sb 2.73
S (0.7863, 0.7863, 0.1289)  1 Np 2.50, 1 Sb 2.73

***

DFT (PBE) results for a relaxed structure of Cs3Np2ScS6.

- V: 345 Å³/cell
- Crystal system: monoclinic
- Raw formation energy: -1.443 eV per atom
- DOS at the Fermi energy: 22.852 states/eV/cell

a = 7.0412 Å, b = 7.0412 Å, c = 8.3713 Å
α = 98.05°, β = 98.05°, γ = 120.00°
Closest atoms and distances in Å follow each position.
Fractional positions:
Cs (0.1669, 0.8331, 0.5000)  6 S 3.47-3.55
Cs (0.8331, 0.1669, 0.5000)  6 S 3.47-3.55
Cs (0.5000, 0.5000, 0.5000)  6 S 3.47-3.55
Np (0.3333, 0.6667, 0.0000)  6 S 2.78
Np (0.6667, 0.3333, 0.0000)  6 S 2.78
Sc (0.0000, 0.0000, 0.0000)  6 S 2.68
S (0.9407, 0.6186, 0.8221)  1 Sc 2.68, 2 Np 2.78
S (0.7373, 0.7373, 0.1782)  1 Sc 2.68, 2 Np 2.78
S (0.0593, 0.3814, 0.1779)  1 Sc 2.68, 2 Np 2.78
S (0.6186, 0.9407, 0.8221)  1 Sc 2.68, 2 Np 2.78
S (0.2627, 0.2627, 0.8218)  1 Sc 2.68, 2 Np 2.78
S (0.3814, 0.0593, 0.1779)  1 Sc 2.68, 2 Np 2.78

***

DFT (PBE) results for a relaxed structure of Cs3Np3ScS8.

- V: 463 Å³/cell
- Crystal system: monoclinic
- Raw formation energy: -1.446 eV per atom
- DOS at the Fermi energy: 21.832 states/eV/cell

a = 8.0744 Å, b = 8.0933 Å, c = 9.4117 Å
α = 115.37°, β = 90.02°, γ = 119.91°
Closest atoms and distances in Å follow each position.
Fractional positions:
Cs (0.0000, 0.0000, 0.0000)  6 S 3.50-3.53
Cs (0.0000, 0.5000, 0.0000)  6 S 3.50-3.54
Cs (0.5000, 0.5000, 0.0000)  6 S 3.50-3.53
Np (0.5000, 0.0000, 0.5000)  6 S 2.76-2.78
Np (0.5000, 0.5000, 0.5000)  6 S 2.75-2.78
Np (0.0000, 0.5000, 0.5000)  6 S 2.75-2.78
Sc (0.0000, 0.0000, 0.5000)  6 S 2.65-2.66
S (0.2725, 0.5451, 0.3192)  3 Np 2.76-2.78
S (0.7275, 0.4549, 0.6808)  3 Np 2.76-2.78
S (0.7817, 0.5632, 0.3289)  1 Sc 2.66, 2 Np 2.75
S (0.2183, 0.4368, 0.6711)  1 Sc 2.66, 2 Np 2.75
S (0.7807, 0.0441, 0.3270)  1 Sc 2.65, 2 Np 2.76-2.78
S (0.2193, 0.9559, 0.6730)  1 Sc 2.65, 2 Np 2.76-2.78
S (0.2634, 0.0441, 0.3270)  1 Sc 2.65, 2 Np 2.76-2.78
S (0.7366, 0.9559, 0.6730)  1 Sc 2.65, 2 Np 2.76-2.78

***

DFT (PBE) results for a relaxed structure of CsNpSe3S.

- V: 386 Å³/cell
- Crystal system: monoclinic
- Raw formation energy: -0.908 eV per atom
- DOS at the Fermi energy: 15.773 states/eV/cell

a = 4.1062 Å, b = 8.9742 Å, c = 11.0815 Å
α = 109.12°, β = 90.00°, γ = 90.00°
Closest atoms and distances in Å follow each position.
Fractional positions:
Cs (0.2500, 0.2313, 0.3115)  7 Se 3.59-3.92, 2 S 3.83
Cs (0.7500, 0.7687, 0.6885)  7 Se 3.59-3.92, 2 S 3.83
Np (0.2500, 0.6703, 0.1667)  4 Se 2.64-2.94, 2 S 2.75
Np (0.7500, 0.3297, 0.8333)  4 Se 2.64-2.94, 2 S 2.75
Se (0.7500, 0.8730, 0.0913)  1 S 2.24
Se (0.2500, 0.1270, 0.9087)  1 S 2.24
Se (0.2500, 0.6541, 0.3999)  1 Np 2.64
Se (0.7500, 0.3459, 0.6001)  1 Np 2.64
Se (0.7500, 0.4392, 0.1145)  3 Np 2.84-2.94
Se (0.2500, 0.5608, 0.8855)  3 Np 2.84-2.94
S (0.2500, 0.1365, 0.7097)  1 Se 2.24
S (0.7500, 0.8635, 0.2903)  1 Se 2.24

***

DFT (PBE) results for a relaxed structure of CsNpSeS.

- V: 128 Å³/cell
- Crystal system: trigonal
- Raw formation energy: -1.267 eV per atom
- DOS at the Fermi energy: 10.975 states/eV/cell

a = 4.2079 Å, b = 4.2083 Å, c = 8.6667 Å
α = 90.02°, β = 104.04°, γ = 120.00°
Closest atoms and distances in Å follow each position.
Fractional positions:
Cs (0.9691, 0.3828, 0.3666)  3 Se 3.56, 3 S 3.62-3.63
Np (0.2967, 0.5462, 0.8583)  3 S 2.80, 3 Se 2.93
Se (0.0942, 0.9451, 0.0546)  3 Np 2.93
S (0.5179, 0.1567, 0.6901)  3 Np 2.80

***

DFT (PBE) results for a relaxed structure of CsSmNpS4.

- V: 456 Å³/cell
- Crystal system: orthorhombic
- Raw formation energy: -1.496 eV per atom
- DOS at the Fermi energy: 18.198 states/eV/cell

a = 8.5150 Å, b = 8.6245 Å, c = 8.8376 Å
α = 120.82°, β = 90.00°, γ = 119.58°
Closest atoms and distances in Å follow each position.
Fractional positions:
Cs (0.8667, 0.7333, 0.1167)  4 S 3.17-3.18
Cs (0.1333, 0.2667, 0.8833)  4 S 3.17-3.18
Sm (0.5000, 0.0000, 0.5000)  6 S 2.85-2.86
Sm (0.5000, 0.0000, 0.0000)  6 S 2.85-2.86
Np (0.5000, 0.5000, 0.5000)  6 S 2.71-2.73
Np (0.0000, 0.5000, 0.5000)  6 S 2.71-2.73
S (0.7318, 0.4635, 0.6735)  2 Np 2.73, 1 Sm 2.86
S (0.3206, 0.0567, 0.2783)  1 Np 2.71, 2 Sm 2.85
S (0.7361, 0.0567, 0.2783)  1 Np 2.71, 2 Sm 2.85
S (0.7318, 0.4635, 0.2900)  2 Np 2.73, 1 Sm 2.86
S (0.2682, 0.5365, 0.7100)  2 Np 2.73, 1 Sm 2.86
S (0.6794, 0.9433, 0.7217)  1 Np 2.71, 2 Sm 2.85
S (0.2639, 0.9433, 0.7217)  1 Np 2.71, 2 Sm 2.85
S (0.2682, 0.5365, 0.3265)  2 Np 2.73, 1 Sm 2.86

***

DFT (PBE) results for a relaxed structure of Cs2SmNp2S6.

- V: 357 Å³/cell
- Crystal system: monoclinic
- Raw formation energy: -1.554 eV per atom
- DOS at the Fermi energy: 18.360 states/eV/cell

a = 7.0775 Å, b = 7.0775 Å, c = 8.5509 Å
α = 97.71°, β = 97.71°, γ = 120.17°
Closest atoms and distances in Å follow each position.
Fractional positions:
Cs (0.8351, 0.1649, 0.0000)  6 S 3.54-3.58
Cs (0.1649, 0.8351, 0.0000)  6 S 3.54-3.58
Sm (0.0000, 0.0000, 0.5000)  6 S 2.82-2.83
Np (0.3341, 0.6659, 0.5000)  6 S 2.74
Np (0.6659, 0.3341, 0.5000)  6 S 2.74
S (0.7159, 0.7159, 0.6764)  2 Np 2.74, 1 Sm 2.82
S (0.0553, 0.3997, 0.6756)  2 Np 2.74, 1 Sm 2.83
S (0.2841, 0.2841, 0.3236)  2 Np 2.74, 1 Sm 2.82
S (0.3997, 0.0553, 0.6756)  2 Np 2.74, 1 Sm 2.83
S (0.9447, 0.6003, 0.3244)  2 Np 2.74, 1 Sm 2.83
S (0.6003, 0.9447, 0.3244)  2 Np 2.74, 1 Sm 2.83

***

DFT (PBE) results for a relaxed structure of Cs3SmNp3S8.

- V: 475 Å³/cell
- Crystal system: trigonal
- Raw formation energy: -1.499 eV per atom
- DOS at the Fermi energy: 27.506 states/eV/cell

a = 8.2058 Å, b = 8.2057 Å, c = 9.4305 Å
α = 115.80°, β = 90.00°, γ = 120.00°
Closest atoms and distances in Å follow each position.
Fractional positions:
Cs (0.0000, 0.0000, 0.0000)  6 S 3.55
Cs (0.0000, 0.5000, 0.0000)  6 S 3.55
Cs (0.5000, 0.5000, 0.0000)  6 S 3.55
Sm (0.0000, 0.0000, 0.5000)  6 S 2.82
Np (0.5000, 0.0000, 0.5000)  6 S 2.76-2.77
Np (0.5000, 0.5000, 0.5000)  6 S 2.76-2.77
Np (0.0000, 0.5000, 0.5000)  6 S 2.76-2.77
S (0.2746, 0.5491, 0.3237)  3 Np 2.77
S (0.7254, 0.4509, 0.6763)  3 Np 2.77
S (0.7706, 0.5411, 0.3219)  2 Np 2.76, 1 Sm 2.82
S (0.2294, 0.4589, 0.6781)  2 Np 2.76, 1 Sm 2.82
S (0.7706, 0.0512, 0.3219)  2 Np 2.76, 1 Sm 2.82
S (0.2294, 0.9488, 0.6781)  2 Np 2.76, 1 Sm 2.82
S (0.2806, 0.0512, 0.3219)  2 Np 2.76, 1 Sm 2.82
S (0.7194, 0.9488, 0.6781)  2 Np 2.76, 1 Sm 2.82

***

DFT (PBE) results for a relaxed structure of Cs2SmNp2S7.

- V: 365 Å³/cell
- Crystal system: tetragonal
- Raw formation energy: -1.284 eV per atom
- DOS at the Fermi energy: 16.199 states/eV/cell

a = 5.1567 Å, b = 5.1567 Å, c = 14.2102 Å
α = 79.53°, β = 79.53°, γ = 89.99°
Closest atoms and distances in Å follow each position.
Fractional positions:
Cs (0.8127, 0.8127, 0.3736)  5 S 3.62-3.65
Cs (0.1873, 0.1873, 0.6264)  5 S 3.62-3.65
Sm (0.0000, 0.0000, 0.0000)  8 S 3.20
Np (0.5907, 0.5907, 0.8192)  6 S 2.48-2.65
Np (0.4093, 0.4093, 0.1808)  6 S 2.48-2.65
S (0.5000, 0.5000, 0.0000)  2 Np 2.48
S (0.3181, 0.3181, 0.3629)  1 Np 2.50
S (0.6819, 0.6819, 0.6371)  1 Np 2.50
S (0.9309, 0.4307, 0.1377)  2 Np 2.65
S (0.4307, 0.9309, 0.1377)  2 Np 2.65
S (0.5693, 0.0691, 0.8623)  2 Np 2.65
S (0.0691, 0.5693, 0.8623)  2 Np 2.65

***

DFT (PBE) results for a relaxed structure of Cs3SmNp2S6.

- V: 363 Å³/cell
- Crystal system: monoclinic
- Raw formation energy: -1.495 eV per atom
- DOS at the Fermi energy: 22.320 states/eV/cell

a = 7.2098 Å, b = 7.2098 Å, c = 8.4216 Å
α = 98.20°, β = 98.20°, γ = 120.00°
Closest atoms and distances in Å follow each position.
Fractional positions:
Cs (0.1651, 0.8349, 0.5000)  6 S 3.50-3.53
Cs (0.8349, 0.1651, 0.5000)  6 S 3.50-3.53
Cs (0.5000, 0.5000, 0.5000)  6 S 3.49-3.53
Sm (0.0000, 0.0000, 0.0000)  6 S 2.85
Np (0.3332, 0.6668, 0.0000)  6 S 2.80
Np (0.6668, 0.3332, 0.0000)  6 S 2.80
S (0.9392, 0.6007, 0.8178)  2 Np 2.80, 1 Sm 2.85
S (0.7219, 0.7219, 0.1815)  2 Np 2.80, 1 Sm 2.85
S (0.0608, 0.3993, 0.1822)  2 Np 2.80, 1 Sm 2.85
S (0.6007, 0.9392, 0.8178)  2 Np 2.80, 1 Sm 2.85
S (0.2781, 0.2781, 0.8185)  2 Np 2.80, 1 Sm 2.85
S (0.3993, 0.0608, 0.1822)  2 Np 2.80, 1 Sm 2.85